Entry 1:
This record from the Alexandria database describes a crystal of Ca3AlRh relaxed with PBEsol. The functional is meta-GGA SCAN.

Calculated values
For the formation energy from the elements, the calculation gives -72 meV/atom. The value obtained for the total energy is -14.1752 eV/atom.

Geometry as CIF:
```
data_Ca3AlRh
_chemical_formula_sum 'Ca3 Al1 Rh1'
_cell_length_a 5.332
_cell_length_b 5.332
_cell_length_c 5.332
_cell_angle_alpha 90.00
_cell_angle_beta 90.00
_cell_angle_gamma 90.00
_space_group_name_H-M_alt 'P m -3 m'
_space_group_IT_number 221
_space_group_name_Hall '-P 4 2 3'
loop_
_atom_site_label
_atom_site_type_symbol
_atom_site_fract_x
_atom_site_fract_y
_atom_site_fract_z
_atom_site_occupancy
Ca1 Ca 0.000 0.000 0.500 1
Al1 Al 0.500 0.500 0.500 1
Rh1 Rh 0.000 0.000 0.000 1
```

***

Entry 2:
This record from the Alexandria database describes a crystal of CaAl2Rh relaxed with PBEsol. The functional is meta-GGA SCAN.

Calculated values
For the formation energy from the elements, the calculation gives -714 meV/atom. The value obtained for the total energy is -15.4486 eV/atom.

Geometry as CIF:
```
data_CaAl2Rh
_chemical_formula_sum 'Ca3 Al6 Rh3'
_cell_length_a 4.2831
_cell_length_b 4.2831
_cell_length_c 15.6923
_cell_angle_alpha 90.00
_cell_angle_beta 90.00
_cell_angle_gamma 120.00
_space_group_name_H-M_alt 'R 3 m'
_space_group_IT_number 160
_space_group_name_Hall 'R 3 -2"'
loop_
_atom_site_label
_atom_site_type_symbol
_atom_site_fract_x
_atom_site_fract_y
_atom_site_fract_z
_atom_site_occupancy
Ca1 Ca 0.0000 0.0000 0.0000 1
Al1 Al 0.0000 0.0000 0.5337 1
Al2 Al 0.0000 0.0000 0.8042 1
Rh1 Rh 0.0000 0.0000 0.1844 1
```

***

Copy entry 2 word for word.
This record from the Alexandria database describes a crystal of CaAl2Rh relaxed with PBEsol. The functional is meta-GGA SCAN.

Calculated values
For the formation energy from the elements, the calculation gives -714 meV/atom. The value obtained for the total energy is -15.4486 eV/atom.

Geometry as CIF:
```
data_CaAl2Rh
_chemical_formula_sum 'Ca3 Al6 Rh3'
_cell_length_a 4.2831
_cell_length_b 4.2831
_cell_length_c 15.6923
_cell_angle_alpha 90.00
_cell_angle_beta 90.00
_cell_angle_gamma 120.00
_space_group_name_H-M_alt 'R 3 m'
_space_group_IT_number 160
_space_group_name_Hall 'R 3 -2"'
loop_
_atom_site_label
_atom_site_type_symbol
_atom_site_fract_x
_atom_site_fract_y
_atom_site_fract_z
_atom_site_occupancy
Ca1 Ca 0.0000 0.0000 0.0000 1
Al1 Al 0.0000 0.0000 0.5337 1
Al2 Al 0.0000 0.0000 0.8042 1
Rh1 Rh 0.0000 0.0000 0.1844 1
```